# Sm4In2Ni PBE optimized geometry
data_Sm4In2Ni
_chemical_formula_sum 'Sm4 In2 Ni1'
_symmetry_space_group_name_H-M 'P 1'
_symmetry_Int_Tables_number 1
_cell_length_a 5.1438
_cell_length_b 5.1438
_cell_length_c 8.8745
_cell_angle_alpha 106.85
_cell_angle_beta 106.85
_cell_angle_gamma 90.00
loop_
_symmetry_equiv_pos_as_xyz
'x,y,z'
loop_
_atom_site_label
_atom_site_type_symbol
_atom_site_fract_x
_atom_site_fract_y
_atom_site_fract_z
_atom_site_occupancy
Ni1 Ni 0.0000 0.0000 0.0000 1
Sm1 Sm 0.8216 0.8216 0.6432 1
Sm2 Sm 0.1784 0.1784 0.3568 1
Sm3 Sm 0.0000 0.5000 0.0000 1
Sm4 Sm 0.5000 0.0000 0.0000 1
In1 In 0.6297 0.6297 0.2594 1
In2 In 0.3703 0.3703 0.7406 1
# - SG: I4/mmm, No. 139
# - Crystal system: tetragonal
# - ΔE_f: -0.201 eV/atom